Entry 1:
CrPSe: relaxed, PBE.

Cell: 13.3142 3.2759 5.8980 Å, 90.00 116.08 90.00°
Sites, in units of the cell vectors:
Cr 0.0000 0.0000 0.0000
Cr 0.0001 0.5000 0.4364
Cr 0.5001 0.0000 0.4364
Cr 0.5000 0.5000 0.0000
P 0.0917 0.0000 0.7345
P 0.4085 0.5000 0.5525
P 0.5917 0.5000 0.7345
P 0.9085 0.0000 0.5525
Se 0.1358 0.5000 0.2691
Se 0.3643 0.0000 0.9997
Se 0.6358 0.0000 0.2691
Se 0.8643 0.5000 0.9997

Values from the calculation:
ΔE_f (raw) (meV/atom): -259
ρ (g/cm3): 4.65



Entry 2:
CrPSe2: relaxed, PBE.

Cell: 5.8865 5.8865 10.3257 Å, 90.00 90.00 90.00°
Sites, in units of the cell vectors:
Cr 0.0000 0.0000 0.0000
Cr 0.0000 0.5000 0.2500
Cr 0.5000 0.0000 0.7500
Cr 0.5000 0.5000 0.5000
P 0.0000 0.0000 0.5000
P 0.0000 0.5000 0.7500
P 0.5000 0.0000 0.2500
P 0.5000 0.5000 0.0000
Se 0.2093 0.2500 0.1250
Se 0.2500 0.7093 0.3750
Se 0.2500 0.7907 0.8750
Se 0.2907 0.2500 0.6250
Se 0.7093 0.7500 0.6250
Se 0.7500 0.2093 0.8750
Se 0.7500 0.2907 0.3750
Se 0.7907 0.7500 0.1250

Values from the calculation:
ΔE_f (raw) (meV/atom): 448
ρ (g/cm3): 4.47